[1]
Hf2SbPbN: relaxed, PBE.

Results
spin magnetization	0.00	μB per cell
ΔE_f (raw)	-0.17	eV per atom

abc: 4.4291 4.4291 5.4118
angles: 90.00 90.00 90.00
Atoms (fractional coordinates):
Hf1 0.0000 0.5000 0.0000
Hf2 0.5000 0.0000 0.0000
Sb1 0.0000 0.0000 0.5000
Pb1 0.5000 0.5000 0.5000
N1 0.5000 0.5000 0.0000



[2]
Y8ErTm6: relaxed, PBE.

Results
E_form	2.04	eV per formula unit
spin magnetization	0.01	μB per cell

abc: 8.5958 8.5958 8.5958
angles: 62.98 62.98 62.98
Atoms (fractional coordinates):
Y1 0.0768 0.0768 0.0768
Y2 0.2200 0.2448 0.6093
Y3 0.2448 0.6093 0.2200
Y4 0.3907 0.7800 0.7552
Y5 0.6093 0.2200 0.2448
Y6 0.7552 0.3907 0.7800
Y7 0.7800 0.7552 0.3907
Y8 0.9232 0.9232 0.9232
Er1 0.5000 0.5000 0.5000
Tm1 0.0418 0.7260 0.6123
Tm2 0.2740 0.3877 0.9582
Tm3 0.3877 0.9582 0.2740
Tm4 0.6123 0.0418 0.7260
Tm5 0.7260 0.6123 0.0418
Tm6 0.9582 0.2740 0.3877



[3]
Pm4YH10: relaxed, PBE.

Results
spin magnetization	0.00	μB per cell

abc: 15.6698 15.6698 15.6698
angles: 13.91 13.91 13.91
Atoms (fractional coordinates):
Pm1 0.1011 0.1011 0.1011
Pm2 0.2997 0.2997 0.2997
Pm3 0.7003 0.7003 0.7003
Pm4 0.8989 0.8989 0.8989
Y1 0.5000 0.5000 0.5000
H1 0.0508 0.0508 0.0508
H2 0.1516 0.1516 0.1516
H3 0.2493 0.2493 0.2493
H4 0.3499 0.3499 0.3499
H5 0.4518 0.4518 0.4518
H6 0.5482 0.5482 0.5482
H7 0.6501 0.6501 0.6501
H8 0.7507 0.7507 0.7507
H9 0.8484 0.8484 0.8484
H10 0.9492 0.9492 0.9492



[4]
CdPdI: relaxed, PBE.

Results
spin magnetization	0.00	μB per cell
ΔE_f (raw)	0.01	eV per atom

abc: 10.9522 4.0630 4.0630
angles: 59.12 90.00 90.00
Atoms (fractional coordinates):
Cd1 0.1389 0.0000 0.0000
Cd2 0.8611 0.0000 0.0000
Pd1 0.0000 0.3327 0.3327
Pd2 0.5000 0.0408 0.0408
I1 0.3267 0.3239 0.3239
I2 0.6733 0.3239 0.3239



[5]
ZrRe3B: relaxed, PBE.

Results
E_form	17.92	eV per formula unit
spin magnetization	3.13	μB per cell

abc: 4.8158 4.8158 4.8158
angles: 90.00 90.00 90.00
Atoms (fractional coordinates):
Zr1 0.0000 0.0000 0.0000
Re1 0.0000 0.0000 0.5000
Re2 0.0000 0.5000 0.0000
Re3 0.5000 0.0000 0.0000
B1 0.5000 0.5000 0.5000



Calculated values (eV/f.u.) of final energy for the records, taken in order: -36.92, -81.06, -69.11, -7.63, -34.65.
Calculated values (states/eV/f.u.) of Fermi-level density of states for the records, taken in order: 4.3, 24.7, 5.0, 1.6, 5.1.